Compound: CsCe2WO8
Source: the Alexandria database
Functional: PBE+U
Structure: relaxed

Lattice parameters (Å, degrees): 5.153 4.788 7.755 83.95 87.14 89.55
Last column: magnetic moment on the atom in μB.
Fractional positions:
W (0.000, 0.000, 0.000)  0.00
O (0.480, 0.283, 0.503)  0.08
O (0.212, 0.822, 0.829)  0.00
O (0.291, 0.265, 0.016)  0.00
Ce (0.513, 0.519, 0.233)  0.01
O (0.138, 0.744, 0.187)  0.00
Ce (0.487, 0.481, 0.767)  0.01
O (0.520, 0.717, 0.497)  0.08
Cs (0.000, 0.000, 0.500)  0.00
O (0.862, 0.256, 0.813)  0.00
O (0.788, 0.178, 0.171)  0.00
O (0.709, 0.735, 0.984)  0.00

Properties
total DFT energy (no corrections): -87.9 eV for the cell shown
DOS(E_F): 0.121 states/eV/atom
volume: 190 Å³/f.u.